# 1
Computed, not measured: a geometry-optimized Ac3Ga2RuO9 structure at the PBE level of DFT.

Structure (POSCAR):
```
Ac3Ga2RuO9
1.0
5.652 0.000 0.000
-2.826 4.895 0.000
0.000 0.000 6.938
O Ac Ga Ru
9 3 2 1
Direct
0.500 0.500 0.000
0.170 0.830 0.329
0.341 0.170 0.671
0.000 0.500 0.000
0.500 0.000 0.000
0.830 0.170 0.671
0.170 0.341 0.329
0.659 0.830 0.329
0.830 0.659 0.671
0.667 0.333 0.338
0.000 0.000 0.000
0.333 0.667 0.662
0.667 0.333 0.840
0.333 0.667 0.160
0.000 0.000 0.500
```

Results
**DOS at the Fermi energy**: 5.7 states/eV/f.u.
**Formation energy from raw total energies**: -2.42 eV/atom
**Total DFT energy (no corrections)**: -7.236 eV/atom

=====

# 2
Computed, not measured: a geometry-optimized Ac2GaRuO6 structure at the PBE level of DFT.

Structure (POSCAR):
```
Ac2GaRuO6
1.0
-2.295 -5.186 0.029
0.205 -0.122 -5.666
7.329 -3.241 0.335
Ac Ru O Ga
4 2 12 2
Direct
0.000 0.250 0.250
0.500 0.750 0.750
0.500 0.750 0.250
0.000 0.250 0.750
0.000 0.750 0.500
0.500 0.250 0.000
0.000 0.750 0.755
0.255 0.005 0.500
0.745 0.495 0.500
0.500 0.250 0.745
0.500 0.250 0.255
0.255 0.495 0.500
0.000 0.750 0.245
0.755 0.505 0.000
0.755 0.995 0.000
0.745 0.005 0.500
0.245 0.995 0.000
0.245 0.505 0.000
0.000 0.750 0.000
0.500 0.250 0.500
```

Results
**DOS at the Fermi energy**: 4.5 states/eV/f.u.
**Formation energy from raw total energies**: -2.30 eV/atom
**Total DFT energy (no corrections)**: -7.331 eV/atom